VASP calculation (GGA-PBE) on a geometry-optimized CsDy4Cl12 structure.

Unit cell a=9.0426 b=9.0426 c=9.0426 alpha=109.46 beta=109.49 gamma=109.47
Positions (direct):
1 Dy 0.5000 0.5000 0.5000
2 Dy 0.0000 0.0000 0.5000
3 Dy 0.0000 0.5000 0.0000
4 Dy 0.5000 0.0000 0.0000
5 Cl 0.7915 0.0098 0.2183
6 Cl 0.7183 0.7090 0.4273
7 Cl 0.2085 0.9902 0.7817
8 Cl 0.2817 0.7090 0.9907
9 Cl 0.4899 0.7811 0.7087
10 Cl 0.0724 0.7811 0.2913
11 Cl 0.7915 0.5732 0.7817
12 Cl 0.7183 0.2910 0.0093
13 Cl 0.2817 0.2910 0.5727
14 Cl 0.9276 0.2189 0.7087
15 Cl 0.5101 0.2189 0.2913
16 Cl 0.2085 0.4268 0.2183
17 Cs 0.0000 0.5000 0.5000

Results
The formation energy from raw total energies is -36.757 eV/f.u. As for the symmetry: Im-3, No. 204. The calculation puts the total magnetic moment at 0.0001 μB/atom.